[1]
SiBrF PBE relaxed; E_tot = -4.217 eV/atom; total magnetic moment = 0.00 μB per formula unit; SG = P1; D(E_F) = 0.0 states/eV/f.u.; ΔE_f (raw) = -3.682 eV/f.u.
1.0
3.797 0.000 0.000
0.002 4.674 0.000
0.784 0.254 4.970
Si Br F
1 1 1
Direct
0.000 0.000 0.000
0.509 0.383 0.958
0.932 0.976 0.329

***

[2]
Ho4ErAg PBE relaxed; E_tot = -4.367 eV/atom; total magnetic moment = 0.00 μB per formula unit; SG = P4/mmm; D(E_F) = 7.4 states/eV/f.u.; DFT formation energy = -0.08 eV/atom
1.0
3.518 0.000 0.000
0.000 3.518 0.000
0.000 0.000 13.874
Ho Er Ag
4 1 1
Direct
0.000 0.000 0.139
0.000 0.000 0.861
0.500 0.500 0.321
0.500 0.500 0.679
0.000 0.000 0.500
0.500 0.500 0.000

***

[3]
BaEu2Zn PBE relaxed; E_tot = -5.934 eV/atom; total magnetic moment = 15.66 μB per formula unit; SG = R-3m; D(E_F) = 19.8 states/eV/f.u.; DFT formation energy = 0.00 eV/atom
1.0
2.066 1.193 11.293
-2.066 1.193 11.293
0.000 -2.386 11.293
Ba Eu Zn
1 2 1
Direct
0.000 0.000 0.000
0.228 0.228 0.228
0.772 0.772 0.772
0.500 0.500 0.500

***

[4]
Mn2CrSbN PBE relaxed; E_tot = -8.214 eV/atom; total magnetic moment = 2.96 μB per formula unit; SG = P4/mmm; D(E_F) = 5.0 states/eV/f.u.; ΔE_f (raw) = -0.658 eV/f.u.
1.0
3.980 0.000 0.000
0.000 3.980 0.000
0.000 0.000 4.074
Mn Cr Sb N
2 1 1 1
Direct
0.000 0.500 0.000
0.500 0.000 0.000
0.000 0.000 0.500
0.500 0.500 0.500
0.000 0.000 0.000

***

[5]
K2Er4S3O2 PBE relaxed; E_tot = -5.732 eV/atom; total magnetic moment = 0.00 μB per formula unit; SG = I4/mmm; D(E_F) = 3.8 states/eV/f.u.; ΔE_f (raw) = -20.310 eV/f.u.
1.0
-2.252 2.252 11.732
2.252 -2.252 11.732
2.252 2.252 -11.732
K Er S O
2 4 3 2
Direct
0.202 0.202 0.000
0.798 0.798 0.000
0.073 0.573 0.500
0.427 0.927 0.500
0.573 0.073 0.500
0.927 0.427 0.500
0.348 0.348 0.000
0.500 0.500 0.000
0.652 0.652 0.000
0.092 0.092 0.000
0.908 0.908 0.000

***

[6]
Nd7DyY3 PBE relaxed; E_tot = -4.989 eV/atom; total magnetic moment = 0.00 μB per formula unit; SG = C2/m; D(E_F) = 15.1 states/eV/f.u.; DFT formation energy = 0.23 eV/atom
1.0
6.442 -5.705 0.000
6.442 5.705 0.000
-2.726 0.000 5.271
Nd Dy Y
7 1 3
Direct
0.000 0.000 0.000
0.096 0.517 0.307
0.289 0.289 0.791
0.483 0.904 0.693
0.517 0.096 0.307
0.711 0.711 0.209
0.904 0.483 0.693
0.000 0.000 0.500
0.296 0.704 0.000
0.500 0.500 0.500
0.704 0.296 0.000

***

[7]
Ba4MnCl PBE relaxed; E_tot = -2.689 eV/atom; total magnetic moment = 2.77 μB per formula unit; SG = F-43m; D(E_F) = 9.1 states/eV/f.u.; ΔE_f (raw) = 2.571 eV/f.u.
1.0
0.000 5.305 5.305
5.305 0.000 5.305
5.305 5.305 0.000
Ba Mn Cl
4 1 1
Direct
0.376 0.376 0.376
0.376 0.376 0.873
0.376 0.873 0.376
0.873 0.376 0.376
0.750 0.750 0.750
0.000 0.000 0.000

***

[8]
NdFeBC PBE relaxed; E_tot = -7.476 eV/atom; total magnetic moment = 1.87 μB per formula unit; SG = P4/nmm; D(E_F) = 2.7 states/eV/f.u.; DFT formation energy = -0.19 eV/atom
1.0
3.677 0.000 0.000
0.000 3.677 0.000
0.000 0.000 7.976
Nd Fe B C
2 2 2 2
Direct
0.250 0.250 0.167
0.750 0.750 0.833
0.250 0.750 0.500
0.750 0.250 0.500
0.250 0.250 0.655
0.750 0.750 0.345
0.250 0.250 0.844
0.750 0.750 0.156

***

[9]
Sm4Dy5Mg2 PBE relaxed; E_tot = -4.060 eV/atom; total magnetic moment = 0.00 μB per formula unit; SG = P-1; D(E_F) = 14.4 states/eV/f.u.; DFT formation energy = 0.04 eV/atom
1.0
3.615 0.000 0.000
1.801 8.613 0.000
1.802 1.822 11.192
Sm Dy Mg
4 5 2
Direct
0.086 0.097 0.231
0.264 0.258 0.717
0.736 0.742 0.283
0.914 0.903 0.769
0.147 0.643 0.563
0.441 0.452 0.164
0.500 0.000 0.500
0.559 0.548 0.836
0.853 0.357 0.437
0.319 0.835 0.025
0.681 0.165 0.975

***

[10]
MoIrPt2 PBE relaxed; E_tot = -7.989 eV/atom; total magnetic moment = 0.00 μB per formula unit; SG = P4mm; D(E_F) = 3.9 states/eV/f.u.; DFT formation energy = -0.05 eV/atom
1.0
3.365 0.000 0.000
0.000 3.365 0.000
0.000 0.000 5.541
Mo Ir Pt
1 1 2
Direct
0.000 0.000 0.000
0.500 0.500 0.776
0.000 0.000 0.521
0.500 0.500 0.266

***

[11]
TeCF2 PBE relaxed; E_tot = -3.423 eV/atom; total magnetic moment = 0.00 μB per formula unit; SG = R-3m; D(E_F) = 1.8 states/eV/f.u.; ΔE_f (raw) = 2.418 eV/f.u.
1.0
1.495 0.863 9.643
-1.495 0.863 9.643
0.000 -1.726 9.643
Te C F
1 1 2
Direct
0.000 0.000 0.000
0.500 0.500 0.500
0.452 0.452 0.452
0.548 0.548 0.548

***

[12]
LiBeIn PBE relaxed; E_tot = -2.427 eV/atom; total magnetic moment = 0.00 μB per formula unit; SG = P3m1; D(E_F) = 0.7 states/eV/f.u.; DFT formation energy = 0.37 eV/atom
1.0
3.046 0.000 0.000
-1.523 2.638 0.000
0.000 0.000 6.640
Li Be In
1 1 1
Direct
0.000 0.000 0.000
0.667 0.333 0.307
0.333 0.667 0.631

***

> What is the formula in the ninth record?

Sm4Dy5Mg2

***

> What is the E_tot in the third record?

-5.934 eV/atom

***

> Which formula does entry 10 have?

MoIrPt2